Below is an optimized crystal structure of K2PmZn2Te4, with properties calculated at the GGA-PBE level.

a = 4.6407 Å, b = 8.4200 Å, c = 8.5918 Å
α = 108.72°, β = 105.67°, γ = 90.00°
With the nearest neighbours (Å) after each atom.
Fractional coordinates of all 9 atoms:
K  0.8702  0.4387  0.7404  7 Te 3.68-3.82, 1 Zn 4.07, 1 K 4.07
Zn  0.3261  0.0080  0.6522  4 Te 2.71-2.83
Zn  0.6739  0.9920  0.3478  4 Te 2.71-2.83
Te  0.2053  0.1792  0.4105  3 Zn 2.76-2.83
K  0.1298  0.5613  0.2596  7 Te 3.68-3.82, 1 Zn 4.07, 1 K 4.07
Te  0.4836  0.2466  0.9672  1 Zn 2.71
Te  0.7947  0.8208  0.5895  3 Zn 2.76-2.83
Pm  0.0000  0.0000  0.0000  6 Te 3.18-3.22
Te  0.5164  0.7534  0.0328  1 Zn 2.71

Values from the calculation:
E	-3.3162	eV per atom
SG	C2/m, No. 12
Fermi-level density of states	4.7	states/eV/f.u.
E_form (uncorrected)	-0.865	eV/atom



Below is an optimized crystal structure of KPmZnTe3, with properties calculated at the GGA-PBE level.

a = 4.4602 Å, b = 9.7710 Å, c = 10.5534 Å
α = 107.39°, β = 90.00°, γ = 90.00°
With the nearest neighbours (Å) after each atom.
Fractional coordinates of all 12 atoms:
Te  0.2500  0.0955  0.8618  1 Zn 2.65
K  0.7500  0.7904  0.7605  7 Te 3.55-3.83
Zn  0.7500  0.9166  0.3922  4 Te 2.65-2.77
Te  0.7500  0.2054  0.5328  3 Zn 2.75-2.77
Pm  0.7500  0.3250  0.8596  6 Te 3.13-3.29
K  0.2500  0.2096  0.2395  7 Te 3.55-3.83
Pm  0.2500  0.6750  0.1404  6 Te 3.13-3.29
Te  0.7500  0.9045  0.1382  1 Zn 2.65
Te  0.2500  0.7946  0.4672  3 Zn 2.75-2.77
Te  0.2500  0.5404  0.8316  3 Pm 3.13-3.14
Te  0.7500  0.4596  0.1684  3 Pm 3.13-3.14
Zn  0.2500  0.0834  0.6078  4 Te 2.65-2.77

Values from the calculation:
E	-3.8260	eV per atom
SG	P2_1/m, No. 11
E_form (uncorrected)	-1.068	eV/atom



Below is an optimized crystal structure of K3Pm3ZrTe8, with properties calculated at the GGA-PBE level.

a = 8.9467 Å, b = 8.9444 Å, c = 9.8988 Å
α = 116.87°, β = 90.00°, γ = 120.01°
With the nearest neighbours (Å) after each atom.
Fractional coordinates of all 15 atoms:
K  0.0000  0.5000  0.0000  6 Te 3.53-3.55
Te  0.7383  0.4766  0.7148  3 Pm 3.16, 3 K 3.53
Te  0.7536  0.9784  0.7031  1 Zr 2.98, 2 Pm 3.16-3.17
K  0.0000  0.0000  0.0000  6 Te 3.53-3.55
Te  0.7752  0.0216  0.2969  1 Zr 2.98, 2 Pm 3.16
Pm  0.5000  0.0000  0.5000  6 Te 3.16-3.17
Te  0.2248  0.9784  0.7031  1 Zr 2.98, 2 Pm 3.16
Te  0.2249  0.4497  0.7032  1 Zr 2.98, 2 Pm 3.16
Pm  0.0000  0.5000  0.5000  6 Te 3.16
Te  0.2464  0.0216  0.2969  1 Zr 2.98, 2 Pm 3.16-3.17
Te  0.2617  0.5234  0.2852  3 Pm 3.16, 3 K 3.53
Te  0.7751  0.5503  0.2968  1 Zr 2.98, 2 Pm 3.16
K  0.5000  0.5000  0.0000  6 Te 3.53-3.55
Pm  0.5000  0.5000  0.5000  6 Te 3.16
Zr  0.0000  0.0000  0.5000  6 Te 2.98

Values from the calculation:
E	-4.7012	eV per atom
SG	R-3m, No. 166
E_form (uncorrected)	-1.286	eV/atom



Below is an optimized crystal structure of K2PmZrTe4, with properties calculated at the GGA-PBE level.

a = 4.3560 Å, b = 7.6284 Å, c = 8.7092 Å
α = 106.59°, β = 90.00°, γ = 90.00°
With the nearest neighbours (Å) after each atom.
Fractional coordinates of all 8 atoms:
Zr  0.5000  0.5000  0.0000  6 Te 2.99-3.01
Te  0.0000  0.7197  0.2052  2 Zr 3.01, 1 Pm 3.15
Te  0.5000  0.7464  0.7872  1 Zr 2.99, 2 Pm 3.14
Te  0.0000  0.2803  0.7948  2 Zr 3.01, 1 Pm 3.15
K  0.0000  0.5000  0.5000  6 Te 3.44
Te  0.5000  0.2536  0.2128  1 Zr 2.99, 2 Pm 3.14
K  0.5000  0.0000  0.5000  6 Te 3.57
Pm  0.0000  0.0000  0.0000  6 Te 3.14-3.15

Values from the calculation:
E	-4.6707	eV per atom
SG	P2/m, No. 10
Fermi-level density of states	3.4	states/eV/f.u.
E_form (uncorrected)	-1.163	eV/atom